No. 1
## Ca2TeW (meta-GGA SCAN)

Data for a PBEsol-optimized structure of Ca2TeW.

Values from the calculation:
Calculated volume in Å³ per atom: 22.7
Offset from the most stable computed form in meV/atom: 260.8
DOS(E_F) in states/eV/atom: 0.9695
Total DFT energy (no corrections) in eV/cell: -124.3

abc: 4.3991 4.3991 5.6358
angles: 112.97 112.97 90.00
Closest atoms and distances in Å follow each position.
Positions (direct):
Ca1 0.7500 0.2500 0.5000  4 Ca 3.11, 4 W 3.22, 4 Te 3.22
Ca2 0.2500 0.7500 0.5000  4 Ca 3.11, 4 Te 3.22, 4 W 3.22
Te1 0.0000 0.0000 0.0000  4 W 3.11, 8 Ca 3.22
W1 0.5000 0.5000 0.0000  4 Te 3.11, 8 Ca 3.22

No. 2
## CrCu2P (meta-GGA SCAN)

Data for a PBEsol-optimized structure of CrCu2P.

Values from the calculation:
Calculated volume in Å³ per atom: 11.8
DOS(E_F) in states/eV/atom: 0.6205
DFT formation energy in eV per formula unit: 1.016
Total DFT energy (no corrections) in eV/cell: -58.2

abc: 2.5397 2.5397 7.5633
angles: 90.00 90.00 104.57
Closest atoms and distances in Å follow each position.
Positions (direct):
Cr1 0.5000 0.5000 0.2636  2 P 2.27, 2 Cu 2.51, 4 Cr 2.54
Cu1 0.0000 0.0000 0.0024  6 Cu 2.45-2.54, 2 Cr 2.51
Cu2 0.5000 0.5000 0.7515  6 Cu 2.45-2.54, 2 P 2.56
P1 0.0000 0.0000 0.4825  2 Cr 2.27, 4 P 2.54

No. 3
## CaMgPt2 (meta-GGA SCAN)

Data for a PBEsol-optimized structure of CaMgPt2.

Values from the calculation:
Calculated volume in Å³ per atom: 17.9
DOS(E_F) in states/eV/atom: 0.4460
DFT formation energy in eV per formula unit: -2.433
Total DFT energy (no corrections) in eV/cell: -157.5

abc: 4.6609 4.6609 4.6609
angles: 60.00 60.00 60.00
Closest atoms and distances in Å follow each position.
Positions (direct):
Ca1 0.5000 0.5000 0.5000  4 Mg 2.85, 4 Pt 2.85
Mg1 0.2500 0.2500 0.2500  4 Pt 2.85, 4 Ca 2.85
Pt1 0.0000 0.0000 0.0000  4 Pt 2.85, 4 Mg 2.85
Pt2 0.7500 0.7500 0.7500  4 Ca 2.85, 4 Pt 2.85

No. 4
## LaPRuCl2 (meta-GGA SCAN)

Data for a PBEsol-optimized structure of LaPRuCl2.

Values from the calculation:
Calculated volume in Å³ per atom: 20.2
DOS(E_F) in states/eV/atom: 0.6473
Total DFT energy (no corrections) in eV/cell: -108.4

abc: 4.6321 4.6683 4.6683
angles: 90.00 90.00 90.00
Closest atoms and distances in Å follow each position.
Positions (direct):
Ru1 0.0000 0.0000 0.0000  2 P 2.32, 4 Cl 2.33
Cl1 0.0000 0.0000 0.5000  2 Ru 2.33
Cl2 0.0000 0.5000 0.0000  2 Ru 2.33
P1 0.5000 0.0000 0.0000  2 Ru 2.32
La1 0.5000 0.5000 0.5000  8 Cl 3.29, 4 P 3.30

What is the calculated volume in the fourth record? 20.2 Å³ per atom